# 1
Computed, not measured: a relaxed SrHf2Si2 crystal at the GGA-PBE level of DFT.

## Properties
formation energy (no corrections)	-0.233	eV/atom
E above lowest polymorph	0.00	eV per formula unit
space group	P4/mbm, No. 127
E	-33.598	eV per formula unit

a b c (Å): 7.647 7.647 3.552
angles (deg): 90.00 90.00 90.00
Sites, in units of the cell vectors:
Hf: 0.834 0.334 0.500
Hf: 0.334 0.166 0.500
Hf: 0.666 0.834 0.500
Hf: 0.166 0.666 0.500
Si: 0.619 0.119 0.000
Si: 0.381 0.881 0.000
Si: 0.119 0.381 0.000
Si: 0.881 0.619 0.000
Sr: 0.500 0.500 0.000
Sr: 0.000 0.000 0.000



# 2
Computed, not measured: a relaxed Ho3Tm2ScAs6 crystal at the GGA-PBE level of DFT.

## Properties
DFT formation energy	-1.49	eV/atom
space group	C2/m, No. 12
E	-74.752	eV per formula unit

a b c (Å): 4.055 8.104 9.060
angles (deg): 102.88 102.93 90.00
Sites, in units of the cell vectors:
Ho: 0.500 0.500 0.000
Ho: 0.833 0.166 0.666
Ho: 0.167 0.834 0.334
As: 0.000 0.759 0.000
As: 0.000 0.241 0.000
As: 0.667 0.582 0.334
As: 0.663 0.083 0.326
As: 0.333 0.418 0.666
As: 0.337 0.917 0.674
Sc: 0.500 0.000 0.000
Tm: 0.166 0.332 0.332
Tm: 0.834 0.668 0.668



# 3
Computed, not measured: a relaxed BeAlW2 crystal at the GGA-PBE level of DFT.

## Properties
DFT formation energy	0.20	eV/atom
space group	Pmmm, No. 47
E	-32.589	eV per formula unit

a b c (Å): 2.678 3.986 5.349
angles (deg): 90.00 90.00 90.00
Sites, in units of the cell vectors:
W: 0.000 0.000 0.993
W: 0.000 0.000 0.507
Be: 0.500 0.500 0.750
Al: 0.500 0.500 0.250



# 4
Computed, not measured: a relaxed Cu2AgWBr crystal at the GGA-PBE level of DFT.

## Properties
formation energy (no corrections)	1.800	eV/atom
E above lowest polymorph	1.21	eV per formula unit
space group	P4/mmm, No. 123
E	-16.672	eV per formula unit

a b c (Å): 4.787 5.053 4.787
angles (deg): 90.00 90.00 90.00
Site moments in Bohr magnetons follow the coordinates.
Sites, in units of the cell vectors:
Cu: 0.500 0.000 0.000  -0.01
Cu: 0.000 0.000 0.500  0.00
Br: 0.000 0.500 0.000  0.00
W: 0.500 0.500 0.500  3.17
Ag: 0.000 0.000 0.000  0.01



# 5
Computed, not measured: a relaxed CoSbBr2 crystal at the GGA-PBE level of DFT.

## Properties
formation energy (no corrections)	0.025	eV/atom
E above lowest polymorph	0.64	eV per formula unit
space group	R-3m, No. 166
E	-14.473	eV per formula unit

a b c (Å): 9.044 9.044 9.044
angles (deg): 23.20 23.20 23.20
Site moments in Bohr magnetons follow the coordinates.
Sites, in units of the cell vectors:
Sb: 0.000 0.000 0.000  0.00
Br: 0.888 0.888 0.888  0.08
Br: 0.112 0.112 0.112  0.08
Co: 0.500 0.500 0.500  1.95



# 6
Computed, not measured: a relaxed CsZn3Ge3 crystal at the GGA-PBE level of DFT.

## Properties
DFT formation energy	0.11	eV/atom
space group	Pm-3n, No. 223
E	-17.735	eV per formula unit

a b c (Å): 7.149 7.149 7.149
angles (deg): 90.00 90.00 90.00
Sites, in units of the cell vectors:
Zn: 0.750 0.000 0.500
Zn: 0.000 0.500 0.750
Zn: 0.500 0.750 0.000
Zn: 0.500 0.250 0.000
Zn: 0.000 0.500 0.250
Zn: 0.250 0.000 0.500
Ge: 0.500 0.000 0.750
Ge: 0.250 0.500 0.000
Ge: 0.500 0.000 0.250
Ge: 0.750 0.500 0.000
Ge: 0.000 0.750 0.500
Ge: 0.000 0.250 0.500
Cs: 0.500 0.500 0.500
Cs: 0.000 0.000 0.000



| no. | size of the total moment (Bohr magnetons per cell) |
| --- | --- |
| 1 | 0.0 |
| 2 | 0.0 |
| 3 | 0.0 |
| 4 | 4.3 |
| 5 | 2.2 |
| 6 | 0.0 |